DFT (PBE) results for a geometry-optimized CoAs3 structure.

POSCAR file:
```
CoAs3
1.0
3.5345 0.0000 0.0000
0.0000 3.5351 0.0000
0.0000 0.0000 5.7823
As Co
3 1
direct
0.0000 0.0000 0.0962 As
0.5000 0.0000 0.4168 As
0.5000 0.5000 0.7371 As
0.0000 0.5000 0.4166 Co
```

## Properties
The value obtained for the energy above the most stable polymorph in this dataset is 524 meV/atom. The value obtained for the volume is 72.2 Å³ per cell.



DFT (PBE) results for a geometry-optimized Co3As structure.

POSCAR file:
```
Co3As
1.0
2.9494 0.0028 0.0000
-0.0035 2.9494 0.0000
0.0000 0.0000 5.5550
As Co
1 3
direct
0.0000 0.0000 0.0000 As
0.5000 0.5000 0.7460 Co
0.0000 0.0000 0.5000 Co
0.5000 0.5000 0.2540 Co
```

## Properties
The value obtained for the volume is 48.3 Å³ per cell.



The following total magnetic moment values (in μB per formula unit) correspond, in order, to the records above: 0.0 4.5.
The following ΔH_f (0 K) values (in eV per atom) correspond, in order, to the records above: 0.216 0.126.